Here is a geometry-optimized Tb12Dy5Ho2 structure from Alexandria via LeMat-Bulk. Energies are from GGA-PBE.

Energy of formation from the pure elements: 0.126 eV per atom
Energy: -4.4915 eV per atom
Total magnetization: 0.000 μB per cell

Unit cell a=9.1952 b=9.0239 c=8.5744 alpha=91.82 beta=90.00 gamma=120.63
Atoms (fractional coordinates):
Tb 0.5578 0.1156 0.3384
Tb 0.3298 0.2992 0.2387
Tb 0.9694 0.2992 0.2387
Dy 0.2309 0.4618 0.5706
Dy 0.0000 0.0000 0.5000
Tb 0.9238 0.8476 0.1241
Tb 0.8229 0.2593 0.6719
Dy 0.7050 0.4101 0.0234
Ho 0.6721 0.0000 0.0000
Tb 0.0306 0.7008 0.7613
Dy 0.7691 0.5382 0.4294
Tb 0.1771 0.7407 0.3281
Dy 0.2950 0.5899 0.9766
Ho 0.3279 0.0000 0.0000
Tb 0.5636 0.7407 0.3281
Tb 0.0762 0.1524 0.8759
Tb 0.4422 0.8844 0.6616
Tb 0.4364 0.2593 0.6719
Tb 0.6702 0.7008 0.7613